1.
The following is a DFT calculation (PBE) of a geometry-optimized TbScCuNi structure.

Energy of formation   -1.39 eV/f.u.
Space-group type   Amm2 (38)
D(E_F)   2.3 states/eV/f.u.
Volume   19.2 Å³/atom

a b c (Å): 3.537 4.310 5.333
angles (deg): 90.00 109.36 90.00
Element x y z (fractional)
Tb: 0.858 0.500 0.715
Sc: 0.134 0.000 0.268
Cu: 0.576 0.500 0.153
Ni: 0.432 0.000 0.864

---

2.
The following is a DFT calculation (PBE) of a geometry-optimized ScTiCuNi structure.

Energy of formation   -0.99 eV/f.u.
Space-group type   F-43m (216)
D(E_F)   4.7 states/eV/f.u.
Volume   15.3 Å³/atom

a b c (Å): 4.424 4.424 4.424
angles (deg): 60.00 60.00 60.00
Element x y z (fractional)
Sc: 0.750 0.750 0.750
Ni: 0.000 0.000 0.000
Cu: 0.500 0.500 0.500
Ti: 0.250 0.250 0.250

---

3.
The following is a DFT calculation (PBE) of a geometry-optimized ScTiCuNi2 structure.

Energy of formation   2.21 eV/f.u.
Space-group type   P4/mmm (123)
D(E_F)   4.6 states/eV/f.u.
Volume   17.3 Å³/atom

a b c (Å): 4.342 4.587 4.342
angles (deg): 90.00 90.00 90.00
Element x y z (fractional)
Sc: 0.500 0.500 0.500
Ni: 0.000 0.000 0.500
Ni: 0.500 0.000 0.000
Cu: 0.000 0.500 0.000
Ti: 0.000 0.000 0.000

---

4.
The following is a DFT calculation (PBE) of a geometry-optimized ScTlCuNi structure.

Energy of formation   -0.69 eV/f.u.
Space-group type   F-43m (216)
D(E_F)   3.5 states/eV/f.u.
Volume   16.5 Å³/atom

a b c (Å): 4.532 4.532 4.532
angles (deg): 60.00 60.00 60.00
Element x y z (fractional)
Sc: 0.000 0.000 0.000
Ni: 0.750 0.750 0.750
Tl: 0.500 0.500 0.500
Cu: 0.250 0.250 0.250

---

5.
The following is a DFT calculation (PBE) of a geometry-optimized YScCuNi structure.

Energy of formation   -1.34 eV/f.u.
Space-group type   Amm2 (38)
D(E_F)   2.4 states/eV/f.u.
Volume   19.2 Å³/atom

a b c (Å): 3.564 4.320 5.285
angles (deg): 90.00 109.70 90.00
Element x y z (fractional)
Y: 0.144 0.000 0.288
Sc: 0.863 0.500 0.726
Cu: 0.569 0.500 0.139
Ni: 0.424 0.000 0.847

---

6.
The following is a DFT calculation (PBE) of a geometry-optimized YScCuNi structure.

Energy of formation   -1.29 eV/f.u.
Space-group type   F-43m (216)
D(E_F)   3.0 states/eV/f.u.
Volume   18.5 Å³/atom

a b c (Å): 4.708 4.708 4.708
angles (deg): 60.00 60.00 60.00
Element x y z (fractional)
Y: 0.750 0.750 0.750
Ni: 0.500 0.500 0.500
Sc: 0.250 0.250 0.250
Cu: 0.000 0.000 0.000

---

7.
The following is a DFT calculation (PBE) of a geometry-optimized YScCu2Ni structure.

Energy of formation   7.68 eV/f.u.
Space-group type   P4/mmm (123)
D(E_F)   5.3 states/eV/f.u.
Volume   25.1 Å³/atom

a b c (Å): 4.840 5.361 4.840
angles (deg): 90.00 90.00 90.00
Element x y z (fractional)
Y: 0.000 0.000 0.000
Ni: 0.500 0.500 0.500
Sc: 0.000 0.500 0.000
Cu: 0.000 0.000 0.500
Cu: 0.500 0.000 0.000

---

8.
The following is a DFT calculation (PBE) of a geometry-optimized ScZnCuNi structure.

Energy of formation   -1.28 eV/f.u.
Space-group type   F-43m (216)
D(E_F)   2.8 states/eV/f.u.
Volume   14.4 Å³/atom

a b c (Å): 4.333 4.333 4.333
angles (deg): 60.00 60.00 60.00
Element x y z (fractional)
Sc: 0.000 0.000 0.000
Ni: 0.250 0.250 0.250
Zn: 0.500 0.500 0.500
Cu: 0.750 0.750 0.750

---

9.
The following is a DFT calculation (PBE) of a geometry-optimized Sc2Zn2CuNi5 structure.

Energy of formation   -2.30 eV/f.u.
Space-group type   P4/mbm (127)
D(E_F)   4.3 states/eV/f.u.
Volume   13.8 Å³/atom

a b c (Å): 3.540 8.823 8.823
angles (deg): 90.00 90.00 90.00
Element x y z (fractional)
Sc: 0.000 0.676 0.176
Sc: 0.000 0.324 0.824
Sc: 0.000 0.176 0.324
Sc: 0.000 0.824 0.676
Zn: 0.000 0.123 0.623
Zn: 0.000 0.877 0.377
Zn: 0.000 0.623 0.877
Zn: 0.000 0.377 0.123
Cu: 0.000 0.000 0.000
Cu: 0.000 0.500 0.500
Ni: 0.500 0.198 0.063
Ni: 0.500 0.802 0.937
Ni: 0.500 0.063 0.802
Ni: 0.500 0.698 0.437
Ni: 0.500 0.937 0.198
Ni: 0.500 0.302 0.563
Ni: 0.500 0.563 0.698
Ni: 0.500 0.437 0.302
Ni: 0.500 0.500 0.000
Ni: 0.500 0.000 0.500

---

10.
The following is a DFT calculation (PBE) of a geometry-optimized Sc2Zn2Cu5Ni structure.

Energy of formation   -0.79 eV/f.u.
Space-group type   P4/mbm (127)
D(E_F)   5.9 states/eV/f.u.
Volume   14.7 Å³/atom

a b c (Å): 3.523 9.145 9.145
angles (deg): 90.00 90.00 90.00
Element x y z (fractional)
Sc: 0.000 0.676 0.176
Sc: 0.000 0.324 0.824
Sc: 0.000 0.176 0.324
Sc: 0.000 0.824 0.676
Zn: 0.000 0.124 0.624
Zn: 0.000 0.876 0.376
Zn: 0.000 0.624 0.876
Zn: 0.000 0.376 0.124
Cu: 0.500 0.192 0.050
Cu: 0.500 0.808 0.950
Cu: 0.500 0.050 0.808
Cu: 0.500 0.692 0.450
Cu: 0.500 0.950 0.192
Cu: 0.500 0.308 0.550
Cu: 0.500 0.550 0.692
Cu: 0.500 0.450 0.308
Cu: 0.500 0.500 0.000
Cu: 0.500 0.000 0.500
Ni: 0.000 0.000 0.000
Ni: 0.000 0.500 0.500

---

11.
The following is a DFT calculation (PBE) of a geometry-optimized ScZn6CuNi structure.

Energy of formation   0.05 eV/f.u.
Space-group type   Imma (74)
D(E_F)   4.8 states/eV/f.u.
Volume   16.4 Å³/atom

a b c (Å): 8.497 6.812 7.455
angles (deg): 117.18 124.74 90.00
Element x y z (fractional)
Sc: 0.056 0.806 0.111
Sc: 0.944 0.194 0.889
Zn: 0.270 0.520 0.540
Zn: 0.665 0.915 0.329
Zn: 0.887 0.177 0.242
Zn: 0.355 0.565 0.242
Zn: 0.355 0.177 0.242
Zn: 0.887 0.565 0.242
Zn: 0.730 0.480 0.460
Zn: 0.335 0.085 0.671
Zn: 0.113 0.823 0.758
Zn: 0.645 0.435 0.758
Zn: 0.645 0.823 0.758
Zn: 0.113 0.435 0.758
Cu: 0.500 0.500 0.000
Cu: 0.500 0.000 0.000
Ni: 0.500 0.000 0.500
Ni: 0.000 0.000 0.500

---

12.
The following is a DFT calculation (PBE) of a geometry-optimized Sc2ZnCu2Ni5 structure.

Energy of formation   -2.74 eV/f.u.
Space-group type   P4/mbm (127)
D(E_F)   4.0 states/eV/f.u.
Volume   13.5 Å³/atom

a b c (Å): 3.665 8.582 8.582
angles (deg): 90.00 90.00 90.00
Element x y z (fractional)
Sc: 0.000 0.677 0.177
Sc: 0.000 0.323 0.823
Sc: 0.000 0.177 0.323
Sc: 0.000 0.823 0.677
Zn: 0.000 0.000 0.000
Zn: 0.000 0.500 0.500
Cu: 0.000 0.121 0.621
Cu: 0.000 0.879 0.379
Cu: 0.000 0.621 0.879
Cu: 0.000 0.379 0.121
Ni: 0.500 0.203 0.067
Ni: 0.500 0.797 0.933
Ni: 0.500 0.067 0.797
Ni: 0.500 0.703 0.433
Ni: 0.500 0.933 0.203
Ni: 0.500 0.297 0.567
Ni: 0.500 0.567 0.703
Ni: 0.500 0.433 0.297
Ni: 0.500 0.500 0.000
Ni: 0.500 0.000 0.500